(1)
Entry from Alexandria via LeMat-Bulk: a crystal of Tb3CuSnSe7 relaxed with PBEsol (meta-GGA SCAN).

Its total energy is -349.00 eV/f.u. As for the volume: 557.4 Å³ per cell. Its total magnetic moment is 0.00 μB per cell.

Cell and atoms, written as POSCAR:
```
Tb3CuSnSe7
1.0
-0.785 -5.122 -3.388
7.677 -4.480 4.993
-9.540 -0.850 3.496
Se Tb Cu Sn
14 6 2 2
direct
0.544 0.891 0.736
0.345 0.435 0.512
0.044 0.109 0.264
0.044 0.736 0.845
0.345 0.077 0.565
0.845 0.512 0.077
0.259 0.667 0.333
0.544 0.845 0.109
0.845 0.923 0.435
0.845 0.565 0.488
0.345 0.488 0.923
0.544 0.264 0.155
0.759 0.333 0.667
0.044 0.155 0.891
0.589 0.142 0.356
0.089 0.356 0.214
0.589 0.214 0.858
0.089 0.858 0.644
0.589 0.644 0.786
0.089 0.786 0.142
0.023 0.000 0.000
0.523 0.000 0.000
0.663 0.667 0.333
0.163 0.333 0.667
```

---

(2)
Entry from Alexandria via LeMat-Bulk: a crystal of CuSn2TeSe relaxed with PBEsol (meta-GGA SCAN).

Its total energy is -141.42 eV/f.u. As for the volume: 157.8 Å³ per cell. Its total magnetic moment is 0.00 μB per cell.

Cell and atoms, written as POSCAR:
```
CuSn2TeSe
1.0
-3.841 -0.750 2.382
-2.364 -2.677 -4.656
2.154 -5.132 1.858
Se Te Sn Cu
1 1 2 1
direct
0.500 0.500 0.500
0.000 0.000 0.000
0.000 0.000 0.500
0.000 0.500 0.000
0.500 0.000 0.000
```

---

(3)
Entry from Alexandria via LeMat-Bulk: a crystal of ZnCu2SnSe4 relaxed with PBEsol (meta-GGA SCAN).

Its total energy is -163.47 eV/f.u. As for the volume: 181.2 Å³ per cell. Its total magnetic moment is 0.00 μB per cell.

Cell and atoms, written as POSCAR:
```
ZnCu2SnSe4
1.0
-4.095 3.078 -2.404
-3.837 -2.517 3.312
4.698 3.745 3.453
Se Cu Sn Zn
4 2 1 1
direct
0.376 0.376 0.272
0.896 0.896 0.272
0.624 0.104 0.728
0.104 0.624 0.728
0.250 0.750 0.500
0.750 0.250 0.500
0.500 0.500 0.000
0.000 0.000 0.000
```

---

(4)
Entry from Alexandria via LeMat-Bulk: a crystal of ZnCu2SnSe4 relaxed with PBEsol (meta-GGA SCAN).

Its total energy is -163.50 eV/f.u. As for the volume: 181.2 Å³ per cell. Its total magnetic moment is 0.00 μB per cell.

Cell and atoms, written as POSCAR:
```
ZnCu2SnSe4
1.0
-1.747 3.730 -3.883
-2.155 -4.225 -3.090
-2.979 0.772 6.208
Cu Se Sn Zn
2 4 1 1
direct
0.000 0.000 0.000
0.750 0.250 0.500
0.891 0.901 0.261
0.099 0.630 0.739
0.370 0.360 0.261
0.640 0.109 0.739
0.500 0.500 0.000
0.250 0.750 0.500
```

---

(5)
Entry from Alexandria via LeMat-Bulk: a crystal of SrCu2Se relaxed with PBEsol (meta-GGA SCAN).

Its total energy is -74.96 eV/f.u. As for the volume: 85.6 Å³ per cell. Its total magnetic moment is 0.00 μB per cell.

Cell and atoms, written as POSCAR:
```
SrCu2Se
1.0
4.092 0.000 0.023
0.000 4.295 0.000
-0.026 0.000 4.872
Cu Sr Se
2 1 1
direct
0.500 0.000 0.743
0.500 0.000 0.257
0.000 0.500 0.500
0.500 0.500 0.000
```

---

(6)
Entry from Alexandria via LeMat-Bulk: a crystal of Sr3CuSe relaxed with PBEsol (meta-GGA SCAN).

Its total energy is -103.83 eV/f.u. As for the volume: 180.7 Å³ per cell. Its total magnetic moment is 0.00 μB per cell.

Cell and atoms, written as POSCAR:
```
Sr3CuSe
1.0
5.653 0.000 0.000
0.000 5.653 0.000
0.000 0.000 5.653
Sr Se Cu
3 1 1
direct
0.000 0.000 0.500
0.000 0.500 0.000
0.500 0.000 0.000
0.500 0.500 0.500
0.000 0.000 0.000
```

---

(7)
Entry from Alexandria via LeMat-Bulk: a crystal of SrCu2Se relaxed with PBEsol (meta-GGA SCAN).

Its total energy is -74.11 eV/f.u. As for the volume: 85.3 Å³ per cell. Its total magnetic moment is 0.00 μB per cell.

Cell and atoms, written as POSCAR:
```
SrCu2Se
1.0
-4.026 0.777 0.534
-1.649 -0.769 4.694
-0.978 4.422 2.200
Cu Sr Se
2 1 1
direct
0.251 0.249 0.249
0.928 0.072 0.072
0.749 0.751 0.751
0.572 0.428 0.428
```

---

(8)
Entry from Alexandria via LeMat-Bulk: a crystal of TaCu2Se relaxed with PBEsol (meta-GGA SCAN).

Its total energy is -115.74 eV/f.u. As for the volume: 58.2 Å³ per cell. Its total magnetic moment is 0.00 μB per cell.

Cell and atoms, written as POSCAR:
```
TaCu2Se
1.0
3.601 0.000 0.000
0.000 3.601 0.000
-1.801 -1.801 4.490
Cu Ta Se
2 1 1
direct
0.250 0.750 0.500
0.750 0.250 0.500
0.000 0.000 0.000
0.500 0.500 0.000
```